# 1
First-principles (PBE) data for a relaxed K2RbCeI6 crystal, as listed in Alexandria.

Output
Space group: Fm-3m
N(E_F), states/eV/f.u.: 8.44
Total magnetic moment, μB per formula unit: 1.00

Cell: 9.319 9.319 9.319 Å, 60.00 60.00 60.00°
Fractional coordinates of all 10 atoms:
K: 0.250 0.250 0.250
K: 0.750 0.750 0.750
Rb: 0.000 0.000 0.000
Ce: 0.500 0.500 0.500
I: 0.263 0.263 0.737
I: 0.263 0.737 0.263
I: 0.263 0.737 0.737
I: 0.737 0.263 0.263
I: 0.737 0.263 0.737
I: 0.737 0.737 0.263

# 2
First-principles (PBE) data for a relaxed KCeScI6 crystal, as listed in Alexandria.

Output
Space group: P-31c
N(E_F), states/eV/f.u.: 12.11
Total magnetic moment, μB per formula unit: 2.01

Cell: 7.816 7.816 16.030 Å, 90.00 90.00 120.00°
Fractional coordinates of all 18 atoms:
K: 0.000 0.000 0.000
K: 0.000 0.000 0.500
Ce: 0.333 0.667 0.250
Ce: 0.667 0.333 0.750
Sc: 0.333 0.667 0.750
Sc: 0.667 0.333 0.250
I: 0.022 0.369 0.639
I: 0.022 0.653 0.861
I: 0.347 0.369 0.861
I: 0.347 0.978 0.639
I: 0.369 0.022 0.139
I: 0.369 0.347 0.361
I: 0.631 0.653 0.639
I: 0.631 0.978 0.861
I: 0.653 0.022 0.361
I: 0.653 0.631 0.139
I: 0.978 0.347 0.139
I: 0.978 0.631 0.361

# 3
First-principles (PBE) data for a relaxed KCeSeI crystal, as listed in Alexandria.

Output
Space group: R3m
N(E_F), states/eV/f.u.: 7.01
Total magnetic moment, μB per formula unit: 1.87

Cell: 8.886 8.886 8.886 Å, 28.19 28.19 28.19°
Fractional coordinates of all 4 atoms:
K: 0.000 0.000 0.000
Ce: 0.810 0.810 0.810
Se: 0.414 0.414 0.414
I: 0.230 0.230 0.230

# 4
First-principles (PBE) data for a relaxed K2CeSe2I2 crystal, as listed in Alexandria.

Output
Space group: I4/mmm
N(E_F), states/eV/f.u.: 1.47
Total magnetic moment, μB per formula unit: 0.16

Cell: 9.834 9.834 9.834 Å, 147.04 147.04 47.31°
Fractional coordinates of all 7 atoms:
K: 0.124 0.124 0.000
K: 0.876 0.876 0.000
Ce: 0.500 0.500 0.000
Se: 0.000 0.500 0.500
Se: 0.500 0.000 0.500
I: 0.326 0.326 0.000
I: 0.674 0.674 0.000

# 5
First-principles (PBE) data for a relaxed KCeSn2I8 crystal, as listed in Alexandria.

Output
Space group: P-1
N(E_F), states/eV/f.u.: 7.95
Total magnetic moment, μB per formula unit: 1.00

Cell: 7.402 7.877 9.629 Å, 89.98 89.95 89.09°
Fractional coordinates of all 12 atoms:
K: 0.000 0.000 0.000
Ce: 0.000 0.000 0.500
Sn: 0.500 0.500 0.247
Sn: 0.500 0.500 0.753
I: 0.243 0.332 0.500
I: 0.254 0.840 0.729
I: 0.255 0.841 0.271
I: 0.269 0.367 0.000
I: 0.731 0.633 0.000
I: 0.745 0.159 0.729
I: 0.746 0.160 0.271
I: 0.757 0.668 0.500

# 6
First-principles (PBE) data for a relaxed K2SrCeI8 crystal, as listed in Alexandria.

Output
Space group: P2/m
N(E_F), states/eV/f.u.: 4.09
Total magnetic moment, μB per formula unit: 0.10

Cell: 7.585 9.834 8.310 Å, 90.00 92.39 90.00°
Fractional coordinates of all 12 atoms:
K: 0.000 0.246 0.000
K: 0.000 0.754 0.000
Sr: 0.500 0.000 0.500
Ce: 0.500 0.500 0.500
I: 0.254 0.000 0.181
I: 0.267 0.275 0.630
I: 0.267 0.725 0.630
I: 0.284 0.500 0.186
I: 0.716 0.500 0.814
I: 0.733 0.275 0.370
I: 0.733 0.725 0.370
I: 0.746 0.000 0.819

Raw formation energy across the listed records, respectively: -1325; -1289; -1356; -1457; -912; -1361 meV per atom.